Below is a geometry-optimized Mn2CuSe structure, with properties calculated at the PBEsol level.

```
data_Mn2CuSe
_chemical_formula_sum 'Mn4 Cu2 Se2'
_cell_length_a 5.3249
_cell_length_b 6.6431
_cell_length_c 3.0431
_cell_angle_alpha 90.00
_cell_angle_beta 90.00
_cell_angle_gamma 90.00
_symmetry_space_group_name_H-M 'C m m m'
_symmetry_Int_Tables_number 65
_symmetry_space_group_name_Hall '-C 2 2'
loop_
_atom_site_label
_atom_site_type_symbol
_atom_site_fract_x
_atom_site_fract_y
_atom_site_fract_z
Mn1 Mn 0.2500 0.2500 0.0000
Cu1 Cu 0.0000 0.0000 0.5000
Se1 Se 0.0000 0.5000 0.5000
```

Summary:
Formation energy (no corrections) (eV/atom): 0.25
Total magnetic moment (μB/f.u.): 6.582

***

Below is a geometry-optimized MnCuSe2 structure, with properties calculated at the PBEsol level.

```
data_MnCuSe2
_chemical_formula_sum 'Mn2 Cu2 Se4'
_cell_length_a 3.3612
_cell_length_b 3.4255
_cell_length_c 11.6822
_cell_angle_alpha 90.00
_cell_angle_beta 90.00
_cell_angle_gamma 90.00
_symmetry_space_group_name_H-M 'I m m 2'
_symmetry_Int_Tables_number 44
_symmetry_space_group_name_Hall 'I 2 -2'
loop_
_atom_site_label
_atom_site_type_symbol
_atom_site_fract_x
_atom_site_fract_y
_atom_site_fract_z
Mn1 Mn 0.0000 0.0000 0.0000
Cu1 Cu 0.0000 0.5000 0.2288
Se1 Se 0.0000 0.0000 0.4087
Se2 Se 0.0000 0.5000 0.6602
```

Summary:
Formation energy (no corrections) (eV/atom): -0.06
Total magnetic moment (μB/f.u.): 3.673

***

Below is a geometry-optimized Mn2CuSe structure, with properties calculated at the PBEsol level.

```
data_Mn2CuSe
_chemical_formula_sum 'Mn2 Cu1 Se1'
_cell_length_a 2.8737
_cell_length_b 2.8737
_cell_length_c 6.3872
_cell_angle_alpha 90.00
_cell_angle_beta 90.00
_cell_angle_gamma 90.00
_symmetry_space_group_name_H-M 'P 4 m m'
_symmetry_Int_Tables_number 99
_symmetry_space_group_name_Hall 'P 4 -2'
loop_
_atom_site_label
_atom_site_type_symbol
_atom_site_fract_x
_atom_site_fract_y
_atom_site_fract_z
Mn1 Mn 0.0000 0.0000 0.0000
Mn2 Mn 0.5000 0.5000 0.2443
Cu1 Cu 0.5000 0.5000 0.7620
Se1 Se 0.0000 0.0000 0.4478
```

Summary:
Formation energy (no corrections) (eV/atom): 0.24
Total magnetic moment (μB/f.u.): 3.142

***

Repeat the third record exactly.
Below is a geometry-optimized Mn2CuSe structure, with properties calculated at the PBEsol level.

```
data_Mn2CuSe
_chemical_formula_sum 'Mn2 Cu1 Se1'
_cell_length_a 2.8737
_cell_length_b 2.8737
_cell_length_c 6.3872
_cell_angle_alpha 90.00
_cell_angle_beta 90.00
_cell_angle_gamma 90.00
_symmetry_space_group_name_H-M 'P 4 m m'
_symmetry_Int_Tables_number 99
_symmetry_space_group_name_Hall 'P 4 -2'
loop_
_atom_site_label
_atom_site_type_symbol
_atom_site_fract_x
_atom_site_fract_y
_atom_site_fract_z
Mn1 Mn 0.0000 0.0000 0.0000
Mn2 Mn 0.5000 0.5000 0.2443
Cu1 Cu 0.5000 0.5000 0.7620
Se1 Se 0.0000 0.0000 0.4478
```

Summary:
Formation energy (no corrections) (eV/atom): 0.24
Total magnetic moment (μB/f.u.): 3.142